Entry 1:
A relaxed NbZnTc2Ni crystal. Source: the Alexandria database, functional GGA-PBEsol.

crystal system = tetragonal
SG = P4/mmm
spin magnetization = 0.577 μB/atom
formation enthalpy at 0 K = 194 kJ per mole of atoms

Unit cell a=4.607 b=4.607 c=4.800 alpha=90.00 beta=90.00 gamma=90.00
Positions (direct):
Nb: 0.000 0.000 0.000
Zn: 0.000 0.000 0.500
Tc: 0.000 0.500 0.000
Tc: 0.500 0.000 0.000
Ni: 0.500 0.500 0.500

=====

Entry 2:
A relaxed ZrGaSbI2 crystal. Source: the Alexandria database, functional GGA-PBEsol.

crystal system = tetragonal
energy relative to the elements, uncorrected = 543 meV/atom
SG = P4/mmm
spin magnetization = 0.254 μB/atom

Unit cell a=5.319 b=5.319 c=5.295 alpha=90.00 beta=90.00 gamma=90.00
Positions (direct):
Zr: 0.000 0.000 0.000
Ga: 0.500 0.500 0.500
Sb: 0.500 0.500 0.000
I: 0.000 0.500 0.500
I: 0.500 0.000 0.500

=====

Entry 3:
A relaxed YRe3W crystal. Source: the Alexandria database, functional GGA-PBEsol.

crystal system = cubic
SG = Pm-3m
spin magnetization = 0.000 μB/atom
formation enthalpy at 0 K = 151 kJ per mole of atoms

Unit cell a=4.717 b=4.717 c=4.717 alpha=90.00 beta=90.00 gamma=90.00
Positions (direct):
Y: 0.000 0.000 0.000
Re: 0.000 0.500 0.500
Re: 0.500 0.000 0.500
Re: 0.500 0.500 0.000
W: 0.500 0.500 0.500

=====

Entry 4:
A relaxed La2Mg2Rh crystal. Source: the Alexandria database, functional GGA-PBEsol.

crystal system = tetragonal
SG = I4/mmm
spin magnetization = 0.000 μB/atom
formation enthalpy at 0 K = -3 kJ per mole of atoms

Unit cell a=9.722 b=9.722 c=9.722 alpha=157.63 beta=157.63 gamma=31.85
Positions (direct):
La: 0.084 0.084 0.000
La: 0.916 0.916 0.000
Mg: 0.250 0.750 0.500
Mg: 0.750 0.250 0.500
Rh: 0.500 0.500 0.000

=====

Entry 5:
A relaxed La2AgGeOs crystal. Source: the Alexandria database, functional GGA-PBEsol.

crystal system = tetragonal
SG = P4/mmm
spin magnetization = 0.000 μB/atom
formation enthalpy at 0 K = 31 kJ per mole of atoms

Unit cell a=5.658 b=5.658 c=4.481 alpha=90.00 beta=90.00 gamma=90.00
Positions (direct):
La: 0.000 0.500 0.000
La: 0.500 0.000 0.000
Ag: 0.000 0.000 0.500
Ge: 0.500 0.500 0.000
Os: 0.500 0.500 0.500

=====

Entry 6:
A relaxed ZnSb2Pb crystal. Source: the Alexandria database, functional GGA-PBEsol.

crystal system = orthorhombic
energy relative to the elements, uncorrected = 134 meV/atom
SG = Cmmm
spin magnetization = 0.000 μB/atom

Unit cell a=3.344 b=3.344 c=9.156 alpha=90.00 beta=90.00 gamma=105.58
Positions (direct):
Zn: 0.000 0.000 0.000
Sb: 0.500 0.500 0.211
Sb: 0.500 0.500 0.789
Pb: 0.000 0.000 0.500